A plane-wave DFT calculation with PBE with a Hubbard U was carried out for MgNbMo2O after structural relaxation. Values from VASP.

The structure in Quantum ESPRESSO input format:
```
&SYSTEM
  ibrav = 0, nat = 5, ntyp = 4
/
ATOMIC_SPECIES
Mg 24.30 Mg.upf
Mo 95.94 Mo.upf
Nb 92.91 Nb.upf
O 16.00 O.upf
ATOMIC_POSITIONS crystal
Mg 0.000 0.500 0.000
Mo 0.000 0.000 0.500
Mo 0.500 0.000 0.000
Nb 0.000 0.000 0.000
O 0.500 0.500 0.500
CELL_PARAMETERS angstrom
-0.840 4.577 1.867
-4.000 0.707 -3.532
-3.248 -1.939 3.290
```

Calculated values
The size of the total moment is 4.7 μB per cell. For the density of states at the Fermi level, the calculation gives 3.5 states/eV/f.u. The calculation puts the total energy at -20.9 eV/cell.